No. 1
{"formula": "TaAg2Te2", "functional": "GGA-PBE", "state": "relaxed", "cell": [[4.385, 0.000, 0.000], [0.000, 4.385, 0.000], [0.000, 0.000, 12.800]], "species": ["Ta", "Ta", "Ag", "Ag", "Ag", "Ag", "Te", "Te", "Te", "Te"], "fractional_positions": [[0.000, 0.000, 0.000], [0.500, 0.500, 0.500], [0.000, 0.000, 0.401], [0.000, 0.000, 0.599], [0.500, 0.500, 0.099], [0.500, 0.500, 0.901], [0.000, 0.500, 0.250], [0.000, 0.500, 0.750], [0.500, 0.000, 0.250], [0.500, 0.000, 0.750]], "magnetic_moment_mub_per_fu": 2.482, "energy_ry_per_atom": -0.2721, "space_group": "I4/mmm"}

No. 2
{"formula": "Na3Zr4", "functional": "GGA-PBE", "state": "relaxed", "cell": [[8.860, 0.000, 0.000], [-4.430, 7.673, 0.000], [0.000, 0.000, 5.079]], "species": ["Na", "Na", "Na", "Na", "Na", "Na", "Zr", "Zr", "Zr", "Zr", "Zr", "Zr", "Zr", "Zr"], "fractional_positions": [[0.059, 0.242, 0.250], [0.184, 0.941, 0.250], [0.242, 0.184, 0.750], [0.758, 0.816, 0.250], [0.816, 0.059, 0.750], [0.941, 0.758, 0.750], [0.111, 0.501, 0.750], [0.333, 0.667, 0.250], [0.390, 0.889, 0.750], [0.499, 0.610, 0.750], [0.501, 0.390, 0.250], [0.610, 0.111, 0.250], [0.667, 0.333, 0.750], [0.889, 0.499, 0.250]], "magnetic_moment_mub_per_fu": 0.021, "energy_ry_per_atom": -0.3716, "space_group": "P6_3/m"}

No. 3
{"formula": "KSmAgTe3", "functional": "GGA-PBE", "state": "relaxed", "cell": [[11.558, 0.000, 0.000], [0.000, 4.356, 0.000], [0.000, 0.000, 16.369]], "species": ["K", "K", "K", "K", "Sm", "Sm", "Sm", "Sm", "Ag", "Ag", "Ag", "Ag", "Te", "Te", "Te", "Te", "Te", "Te", "Te", "Te", "Te", "Te", "Te", "Te"], "fractional_positions": [[0.231, 0.250, 0.006], [0.269, 0.750, 0.506], [0.731, 0.250, 0.494], [0.769, 0.750, 0.994], [0.017, 0.750, 0.747], [0.483, 0.250, 0.247], [0.517, 0.750, 0.753], [0.983, 0.250, 0.253], [0.236, 0.750, 0.218], [0.264, 0.250, 0.718], [0.736, 0.750, 0.282], [0.764, 0.250, 0.782], [0.039, 0.750, 0.119], [0.071, 0.250, 0.614], [0.234, 0.250, 0.329], [0.266, 0.750, 0.829], [0.429, 0.750, 0.114], [0.461, 0.250, 0.619], [0.539, 0.750, 0.381], [0.571, 0.250, 0.886], [0.734, 0.250, 0.171], [0.766, 0.750, 0.671], [0.929, 0.750, 0.386], [0.961, 0.250, 0.881]], "magnetic_moment_mub_per_fu": 0.010, "energy_ry_per_atom": -0.2885, "space_group": "Pnma"}

No. 4
{"formula": "SmY2Ga2Cu4", "functional": "GGA-PBE", "state": "relaxed", "cell": [[5.018, -2.094, 0.000], [5.018, 2.094, 0.000], [-1.198, 0.000, 8.228]], "species": ["Sm", "Y", "Y", "Ga", "Ga", "Cu", "Cu", "Cu", "Cu"], "fractional_positions": [[0.000, 0.000, 0.000], [0.374, 0.374, 0.621], [0.626, 0.626, 0.379], [0.320, 0.320, 0.231], [0.680, 0.680, 0.769], [0.080, 0.080, 0.634], [0.275, 0.275, 0.923], [0.725, 0.725, 0.077], [0.920, 0.920, 0.366]], "magnetic_moment_mub_per_fu": 0.055, "energy_ry_per_atom": -0.3427, "space_group": "C2/m"}